VASP calculation (PBE) on a relaxed structure of SmTlPb2O4.

Lattice parameters (Å, degrees): 4.032 4.032 9.687 90.00 90.00 90.00
Positions (direct):
Sm (0.000, 0.000, 0.000)
Tl (0.000, 0.000, 0.500)
Pb (0.500, 0.500, 0.255)
Pb (0.500, 0.500, 0.745)
O (0.000, 0.500, 0.146)
O (0.500, 0.000, 0.854)
O (0.500, 0.000, 0.146)
O (0.000, 0.500, 0.854)

Values from the calculation:
ΔE_f (raw) = -1.611 eV/atom
SG = P4/mmm

***

VASP calculation (PBE) on a relaxed structure of CaReTe2.

Lattice parameters (Å, degrees): 4.265 3.899 6.190 82.79 90.00 90.00
Positions (direct):
Re (0.500, 0.750, 0.750)
Ca (0.500, 0.250, 0.250)
Te (0.000, 0.888, 0.982)
Te (0.000, 0.612, 0.518)

Values from the calculation:
ΔE_f (raw) = 0.076 eV/atom
SG = P2/m
relative energy among the computed polymorphs = 291 meV/atom

***

VASP calculation (PBE) on a relaxed structure of GdCuAgAu.

Lattice parameters (Å, degrees): 4.833 4.833 4.833 60.00 60.00 60.00
Each line ends with the local moment (μB).
Positions (direct):
Gd (0.000, 0.000, 0.000)  6.97
Au (0.750, 0.750, 0.750)  -0.01
Cu (0.250, 0.250, 0.250)  -0.01
Ag (0.500, 0.500, 0.500)  -0.01

Values from the calculation:
SG = F-43m
ΔH_f (0 K) = -0.336 eV/atom

***

What are the density values for these records? In order: 8.79 7.83 10.93 g/cm³.
What are the M_tot values for these records? In order: 0.0 0.0 7.0 μB/f.u..